SiSeO2F: relaxed, GGA-PBE.

Calculated values
The formation energy without anion corrections comes out at -0.90 eV per atom. The value obtained for the density of states at the Fermi level is 2.524 states/eV per cell. As for the volume: 52.4 Å³ per cell. The total magnetization is 0.572 μB per formula unit. Its space group is P4/mmm (123).

Geometry as CIF:
```
data_SiSeO2F
_space_group_name_H-M_alt 'P 1'
_space_group_IT_number 1
_cell_length_a 3.621
_cell_length_b 3.621
_cell_length_c 3.998
_cell_angle_alpha 90.00
_cell_angle_beta 90.00
_cell_angle_gamma 90.00
loop_
_space_group_symop_operation_xyz
'x,y,z'
loop_
_atom_site_label
_atom_site_fract_x
_atom_site_fract_y
_atom_site_fract_z
_atom_site_occupancy
Si1 0.000 0.000 0.000 1
O1 0.000 0.500 0.000 1
O2 0.500 0.000 0.000 1
Se1 0.500 0.500 0.500 1
F1 0.000 0.000 0.500 1
```

Ca4SnPbF: relaxed, GGA-PBE.

Calculated values
The formation energy without anion corrections comes out at -1.24 eV per atom. The value obtained for the density of states at the Fermi level is 9.641 states/eV per cell. As for the volume: 397.3 Å³ per cell. The total magnetization is 0.000 μB per formula unit. Its space group is Cmcm (63).

Geometry as CIF:
```
data_Ca4SnPbF
_space_group_name_H-M_alt 'P 1'
_space_group_IT_number 1
_cell_length_a 6.674
_cell_length_b 6.674
_cell_length_c 9.523
_cell_angle_alpha 90.00
_cell_angle_beta 110.51
_cell_angle_gamma 90.00
loop_
_space_group_symop_operation_xyz
'x,y,z'
loop_
_atom_site_label
_atom_site_fract_x
_atom_site_fract_y
_atom_site_fract_z
_atom_site_occupancy
Ca1 0.931 0.250 0.862 1
Ca2 0.434 0.750 0.869 1
Ca3 0.069 0.750 0.138 1
Ca4 0.566 0.250 0.131 1
Ca5 0.500 0.500 0.500 1
Ca6 0.000 0.000 0.500 1
Ca7 0.500 0.000 0.500 1
Ca8 0.000 0.500 0.500 1
Sn1 0.617 0.750 0.235 1
Sn2 0.383 0.250 0.765 1
Pb1 0.115 0.250 0.230 1
Pb2 0.885 0.750 0.770 1
F1 0.248 0.750 0.496 1
F2 0.752 0.250 0.504 1
```

AlCdAs2: relaxed, GGA-PBE.

Calculated values
For the formation energy, the calculation gives 0.03 eV per atom. The value obtained for the density of states at the Fermi level is 2.144 states/eV per cell. As for the volume: 80.9 Å³ per cell. The total magnetization is 0.000 μB per formula unit. Its space group is Pmm2 (25).

Geometry as CIF:
```
data_AlCdAs2
_space_group_name_H-M_alt 'P 1'
_space_group_IT_number 1
_cell_length_a 5.484
_cell_length_b 3.081
_cell_length_c 4.789
_cell_angle_alpha 89.97
_cell_angle_beta 90.00
_cell_angle_gamma 90.00
loop_
_space_group_symop_operation_xyz
'x,y,z'
loop_
_atom_site_label
_atom_site_fract_x
_atom_site_fract_y
_atom_site_fract_z
_atom_site_occupancy
As1 0.000 0.874 0.875 1
As2 0.500 0.373 0.375 1
Al1 0.500 0.878 0.876 1
Cd1 0.000 0.375 0.375 1
```

CsErCd2F8: relaxed, GGA-PBE.

Calculated values
The formation energy without anion corrections comes out at -2.89 eV per atom. The value obtained for the density of states at the Fermi level is 0.000 states/eV per cell. As for the volume: 239.0 Å³ per cell. The total magnetization is 0.000 μB per formula unit. Its space group is P-1 (2).

Geometry as CIF:
```
data_CsErCd2F8
_space_group_name_H-M_alt 'P 1'
_space_group_IT_number 1
_cell_length_a 5.446
_cell_length_b 5.580
_cell_length_c 8.064
_cell_angle_alpha 82.58
_cell_angle_beta 83.37
_cell_angle_gamma 81.21
loop_
_space_group_symop_operation_xyz
'x,y,z'
loop_
_atom_site_label
_atom_site_fract_x
_atom_site_fract_y
_atom_site_fract_z
_atom_site_occupancy
Cs1 0.000 0.000 0.500 1
Er1 0.000 0.000 0.000 1
Cd1 0.456 0.456 0.729 1
Cd2 0.544 0.544 0.271 1
F1 0.193 0.770 0.198 1
F2 0.722 0.756 0.053 1
F3 0.794 0.220 0.188 1
F4 0.807 0.230 0.802 1
F5 0.278 0.244 0.947 1
F6 0.206 0.780 0.812 1
F7 0.635 0.677 0.506 1
F8 0.365 0.323 0.494 1
```

NaTa2SbS: relaxed, GGA-PBE.

Calculated values
The formation energy without anion corrections comes out at 1.59 eV per atom. The value obtained for the density of states at the Fermi level is 7.065 states/eV per cell. As for the volume: 149.5 Å³ per cell. The total magnetization is 3.316 μB per formula unit. Its space group is P4/mmm (123).

Geometry as CIF:
```
data_NaTa2SbS
_space_group_name_H-M_alt 'P 1'
_space_group_IT_number 1
_cell_length_a 5.225
_cell_length_b 5.474
_cell_length_c 5.225
_cell_angle_alpha 90.00
_cell_angle_beta 90.00
_cell_angle_gamma 90.00
loop_
_space_group_symop_operation_xyz
'x,y,z'
loop_
_atom_site_label
_atom_site_fract_x
_atom_site_fract_y
_atom_site_fract_z
_atom_site_occupancy
Sb1 0.000 0.000 0.000 1
S1 0.000 0.500 0.000 1
Na1 0.500 0.500 0.500 1
Ta1 0.000 0.000 0.500 1
Ta2 0.500 0.000 0.000 1
```

YCrSn: relaxed, GGA-PBE.

Calculated values
For the formation energy, the calculation gives -0.17 eV per atom. The value obtained for the density of states at the Fermi level is 10.608 states/eV per cell. As for the volume: 277.4 Å³ per cell. The total magnetization is 0.111 μB per formula unit. Its space group is Cm (8).

Geometry as CIF:
```
data_YCrSn
_space_group_name_H-M_alt 'P 1'
_space_group_IT_number 1
_cell_length_a 5.960
_cell_length_b 4.294
_cell_length_c 10.881
_cell_angle_alpha 90.00
_cell_angle_beta 95.11
_cell_angle_gamma 90.00
loop_
_space_group_symop_operation_xyz
'x,y,z'
loop_
_atom_site_label
_atom_site_fract_x
_atom_site_fract_y
_atom_site_fract_z
_atom_site_occupancy
Y1 0.533 0.000 0.461 1
Y2 0.533 0.500 0.961 1
Y3 0.068 0.000 0.058 1
Y4 0.068 0.500 0.558 1
Cr1 0.617 0.000 0.172 1
Cr2 0.617 0.500 0.672 1
Cr3 0.800 0.000 0.731 1
Cr4 0.800 0.500 0.231 1
Sn1 0.326 0.000 0.741 1
Sn2 0.326 0.500 0.241 1
Sn3 0.001 0.000 0.352 1
Sn4 0.001 0.500 0.852 1
```

Ca2YIr: relaxed, GGA-PBE.

Calculated values
For the formation energy, the calculation gives -0.19 eV per atom. The value obtained for the density of states at the Fermi level is 2.941 states/eV per cell. As for the volume: 137.8 Å³ per cell. The total magnetization is 0.000 μB per formula unit. Its space group is Cmmm (65).

Geometry as CIF:
```
data_Ca2YIr
_space_group_name_H-M_alt 'P 1'
_space_group_IT_number 1
_cell_length_a 4.097
_cell_length_b 6.747
_cell_length_c 6.747
_cell_angle_alpha 47.62
_cell_angle_beta 90.00
_cell_angle_gamma 90.00
loop_
_space_group_symop_operation_xyz
'x,y,z'
loop_
_atom_site_label
_atom_site_fract_x
_atom_site_fract_y
_atom_site_fract_z
_atom_site_occupancy
Y1 0.500 0.750 0.750 1
Ca1 0.000 0.097 0.098 1
Ca2 0.000 0.403 0.402 1
Ir1 0.500 0.250 0.250 1
```

KLiSn2I6: relaxed, GGA-PBE.

Calculated values
The formation energy without anion corrections comes out at -0.81 eV per atom. The value obtained for the density of states at the Fermi level is 0.000 states/eV per cell. As for the volume: 421.3 Å³ per cell. The total magnetization is 0.000 μB per formula unit. Its space group is R3 (146).

Geometry as CIF:
```
data_KLiSn2I6
_space_group_name_H-M_alt 'P 1'
_space_group_IT_number 1
_cell_length_a 8.103
_cell_length_b 8.103
_cell_length_c 8.764
_cell_angle_alpha 62.46
_cell_angle_beta 62.44
_cell_angle_gamma 60.00
loop_
_space_group_symop_operation_xyz
'x,y,z'
loop_
_atom_site_label
_atom_site_fract_x
_atom_site_fract_y
_atom_site_fract_z
_atom_site_occupancy
K1 0.812 0.812 0.565 1
Li1 0.332 0.332 0.005 1
Sn1 0.515 0.515 0.454 1
Sn2 0.004 0.004 0.988 1
I1 0.587 0.251 0.239 1
I2 0.251 0.923 0.239 1
I3 0.923 0.587 0.239 1
I4 0.369 0.726 0.762 1
I5 0.726 0.144 0.762 1
I6 0.144 0.369 0.762 1
```

AcTbNd2Se4: relaxed, GGA-PBE.

Calculated values
The formation energy without anion corrections comes out at -1.81 eV per atom. The value obtained for the density of states at the Fermi level is 4.647 states/eV per cell. As for the volume: 219.0 Å³ per cell. The total magnetization is 0.000 μB per formula unit. Its space group is P2/m (10).

Geometry as CIF:
```
data_AcTbNd2Se4
_space_group_name_H-M_alt 'P 1'
_space_group_IT_number 1
_cell_length_a 4.197
_cell_length_b 7.322
_cell_length_c 7.524
_cell_angle_alpha 71.30
_cell_angle_beta 90.00
_cell_angle_gamma 90.00
loop_
_space_group_symop_operation_xyz
'x,y,z'
loop_
_atom_site_label
_atom_site_fract_x
_atom_site_fract_y
_atom_site_fract_z
_atom_site_occupancy
Ac1 0.500 0.500 0.000 1
Tb1 0.000 0.500 0.500 1
Nd1 0.000 0.000 0.000 1
Nd2 0.500 0.000 0.500 1
Se1 0.000 0.755 0.735 1
Se2 0.000 0.245 0.265 1
Se3 0.500 0.745 0.264 1
Se4 0.500 0.255 0.736 1
```

Sm4Y2Sn3O2: relaxed, GGA-PBE.

Calculated values
The formation energy without anion corrections comes out at -1.49 eV per atom. The value obtained for the density of states at the Fermi level is 5.135 states/eV per cell. As for the volume: 285.0 Å³ per cell. The total magnetization is 0.000 μB per formula unit. Its space group is I4/mmm (139).

Geometry as CIF:
```
data_Sm4Y2Sn3O2
_space_group_name_H-M_alt 'P 1'
_space_group_IT_number 1
_cell_length_a 4.750
_cell_length_b 4.750
_cell_length_c 13.071
_cell_angle_alpha 100.47
_cell_angle_beta 100.47
_cell_angle_gamma 90.00
loop_
_space_group_symop_operation_xyz
'x,y,z'
loop_
_atom_site_label
_atom_site_fract_x
_atom_site_fract_y
_atom_site_fract_z
_atom_site_occupancy
Sm1 0.416 0.916 0.833 1
Sm2 0.916 0.416 0.833 1
Sm3 0.084 0.584 0.167 1
Sm4 0.584 0.084 0.167 1
Y1 0.306 0.306 0.611 1
Y2 0.694 0.694 0.389 1
Sn1 0.000 0.000 0.000 1
Sn2 0.180 0.180 0.360 1
Sn3 0.820 0.820 0.640 1
O1 0.397 0.397 0.794 1
O2 0.603 0.603 0.206 1
```

CsBe2Cr2: relaxed, GGA-PBE.

Calculated values
For the formation energy, the calculation gives 0.99 eV per atom. The value obtained for the density of states at the Fermi level is 9.373 states/eV per cell. As for the volume: 95.4 Å³ per cell. The total magnetization is 0.003 μB per formula unit. Its space group is I4/mmm (139).

Geometry as CIF:
```
data_CsBe2Cr2
_space_group_name_H-M_alt 'P 1'
_space_group_IT_number 1
_cell_length_a 3.456
_cell_length_b 3.456
_cell_length_c 8.353
_cell_angle_alpha 78.06
_cell_angle_beta 78.06
_cell_angle_gamma 90.00
loop_
_space_group_symop_operation_xyz
'x,y,z'
loop_
_atom_site_label
_atom_site_fract_x
_atom_site_fract_y
_atom_site_fract_z
_atom_site_occupancy
Cs1 0.000 0.000 0.000 1
Cr1 0.750 0.250 0.500 1
Cr2 0.250 0.750 0.500 1
Be1 0.344 0.344 0.312 1
Be2 0.656 0.656 0.688 1
```